#1
A plane-wave DFT calculation with PBE was carried out for crystalline TmAgTe at its relaxed geometry.

CIF file:
```
data_TmAgTe
_cell_length_a 7.017
_cell_length_b 7.017
_cell_length_c 7.017
_cell_angle_alpha 90.00
_cell_angle_beta 90.00
_cell_angle_gamma 90.00
_space_group_name_H-M_alt 'F -4 3 m'
_space_group_IT_number 216
_space_group_name_Hall 'F -4 2 3'
loop_
_atom_site_label
_atom_site_type_symbol
_atom_site_fract_x
_atom_site_fract_y
_atom_site_fract_z
Tm1 Tm 0.000 0.000 0.000
Ag1 Ag 0.250 0.250 0.750
Te1 Te 0.250 0.250 0.250
```


#2
A plane-wave DFT calculation with PBE was carried out for crystalline TmAgTe at its relaxed geometry.

CIF file:
```
data_TmAgTe
_cell_length_a 6.880
_cell_length_b 6.880
_cell_length_c 6.880
_cell_angle_alpha 90.00
_cell_angle_beta 90.00
_cell_angle_gamma 90.00
_space_group_name_H-M_alt 'F -4 3 m'
_space_group_IT_number 216
_space_group_name_Hall 'F -4 2 3'
loop_
_atom_site_label
_atom_site_type_symbol
_atom_site_fract_x
_atom_site_fract_y
_atom_site_fract_z
Tm1 Tm 0.000 0.000 0.000
Ag1 Ag 0.250 0.250 0.750
Te1 Te 0.000 0.000 0.500
```


The energy of each structure relative to the most stable one, in meV per atom, is as follows: #1 0; #2 264.